Computed, not measured: CaMo6S8 after structural relaxation at the GGA-PBEsol level of DFT.

Unit cell a=6.4346 b=6.4346 c=6.4346 alpha=89.27 beta=89.27 gamma=89.27
Closest atoms and distances in Å follow each position.
Fractional coordinates of all 15 atoms:
Ca: 0.0000 0.0000 0.0000  2 S 2.69
Mo: 0.2213 0.5603 0.4162  5 S 2.38-2.51, 2 Mo 2.66
Mo: 0.4162 0.2213 0.5603  5 S 2.38-2.51, 2 Mo 2.66
Mo: 0.4397 0.5838 0.7787  5 S 2.38-2.51, 2 Mo 2.66
Mo: 0.5603 0.4162 0.2213  5 S 2.38-2.51, 2 Mo 2.66
Mo: 0.5838 0.7787 0.4397  5 S 2.38-2.51, 2 Mo 2.66
Mo: 0.7787 0.4397 0.5838  5 S 2.38-2.51, 2 Mo 2.66
S: 0.1269 0.3807 0.7464  4 Mo 2.42-2.51
S: 0.2382 0.2382 0.2382  3 Mo 2.38
S: 0.2536 0.8731 0.6193  4 Mo 2.42-2.51
S: 0.3807 0.7464 0.1269  4 Mo 2.42-2.51
S: 0.6193 0.2536 0.8731  4 Mo 2.42-2.51
S: 0.7464 0.1269 0.3807  4 Mo 2.42-2.51
S: 0.7618 0.7618 0.7618  3 Mo 2.38
S: 0.8731 0.6193 0.2536  4 Mo 2.42-2.51

Energy relative to the elements, uncorrected, eV per atom: -0.97
Symmetry: No. 148
Total moment, μB per formula unit: 0.0